VASP calculation (PBE-GGA) on a relaxed structure of ErTeNO.

Calculated values
Its symmetry is P4/nmm. As for the energy: -50.7 eV for the cell shown.

a = 4.498 Å, b = 4.498 Å, c = 6.990 Å
α = 90.00°, β = 90.00°, γ = 90.00°
Fractional coordinates of all 8 atoms:
Er1 0.250 0.250 0.115
Er2 0.750 0.750 0.885
N1 0.750 0.750 0.559
N2 0.250 0.250 0.441
O1 0.750 0.250 0.000
O2 0.250 0.750 0.000
Te1 0.750 0.250 0.500
Te2 0.250 0.750 0.500